(w)
VASP calculation (GGA-PBE) on an optimized crystal structure of TbHfSc.

Calculated volume: 25.65 Å³/atom

a b c (Å): 5.2143 5.2143 3.2680
angles (deg): 90.00 90.00 120.00
Fractional coordinates of all 3 atoms:
Tb 0.0000 0.0000 0.0000
Hf 0.6667 0.3333 0.5000
Sc 0.3333 0.6667 0.5000



(x)
VASP calculation (GGA-PBE) on an optimized crystal structure of TbHfSc.

Calculated volume: 25.71 Å³/atom

a b c (Å): 8.2501 8.2501 8.2501
angles (deg): 23.30 23.30 23.30
Fractional coordinates of all 3 atoms:
Tb 0.0000 0.0000 0.0000
Hf 0.7779 0.7779 0.7779
Sc 0.2129 0.2129 0.2129



(y)
VASP calculation (GGA-PBE) on an optimized crystal structure of TbHfSc.

Calculated volume: 25.65 Å³/atom

a b c (Å): 3.3172 4.5724 10.1470
angles (deg): 90.00 90.00 90.00
Fractional coordinates of all 6 atoms:
Tb 0.2500 0.2500 0.0972
Tb 0.7500 0.7500 0.9028
Hf 0.2500 0.2500 0.4265
Hf 0.7500 0.7500 0.5735
Sc 0.2500 0.2500 0.7263
Sc 0.7500 0.7500 0.2737



Computed relative energies in units of kJ/mol of atoms: (w) 7.6; (x) 0.0; (y) 0.6